YBOF2: optimized geometry, PBE.

Results
density = 4.5 g cm⁻³
SG = P4/mmm
energy relative to the elements, uncorrected = -1665 meV/atom
VASP energy = -6.0332 eV per atom
magnetic moment = 0.00 μB per cell

abc: 4.525 4.525 2.780
angles: 90.00 90.00 90.00
Element x y z (fractional)
F1 0.500 0.000 0.000
F2 0.000 0.500 0.000
Y1 0.500 0.500 0.500
O1 0.000 0.000 0.500
B1 0.000 0.000 0.000